Pm5Si4Tc2: relaxed, PBE.

Geometry as POSCAR:
```
Pm5Si4Tc2
1.0
9.8240 -1.9773 0.0000
9.8240 1.9773 0.0000
-0.2019 0.0000 7.1371
Pm Si Tc
5 4 2
direct
0.0000 0.0000 0.0000 Pm
0.3152 0.3152 0.8416 Pm
0.3714 0.3714 0.3242 Pm
0.6286 0.6286 0.6758 Pm
0.6848 0.6848 0.1584 Pm
0.0964 0.0964 0.3566 Si
0.4746 0.4746 0.6621 Si
0.5254 0.5254 0.3379 Si
0.9036 0.9036 0.6434 Si
0.2194 0.2194 0.4569 Tc
0.7806 0.7806 0.5431 Tc
```

- raw formation energy (eV per atom) = -0.2840



FeSb3As: relaxed, PBE.

Geometry as POSCAR:
```
FeSb3As
1.0
4.9253 0.0000 0.0000
0.0000 4.9253 0.0000
0.0000 0.0000 4.9253
Fe Sb As
1 3 1
direct
0.0000 0.0000 0.0000 Fe
0.0000 0.0000 0.5000 Sb
0.0000 0.5000 0.0000 Sb
0.5000 0.0000 0.0000 Sb
0.5000 0.5000 0.5000 As
```

- raw formation energy (eV per atom) = 0.4332



K2SiRh: relaxed, PBE.

Geometry as POSCAR:
```
K2SiRh
1.0
2.9791 0.0000 0.0000
0.0000 3.9163 0.0000
0.0000 0.0000 19.9603
K Si Rh
4 2 2
direct
0.0000 0.0000 0.1485 K
0.0000 0.0000 0.8515 K
0.5000 0.5000 0.3515 K
0.5000 0.5000 0.6485 K
0.0000 0.5000 0.0000 Si
0.5000 0.0000 0.5000 Si
0.0000 0.5000 0.5000 Rh
0.5000 0.0000 0.0000 Rh
```

- raw formation energy (eV per atom) = -0.0397